VASP calculation (meta-GGA SCAN) on a PBEsol-optimized structure of Ba2SrPt.

The calculation puts the energy above the most stable polymorph in this dataset at 50 meV/atom. Its formation energy is -510 meV/atom. The crystal system is trigonal. As for the space-group type: R-3m.

Cell: 4.4507 4.4507 11.1181 Å, 78.45 78.45 60.00°
Element x y z (fractional)
Sr: 0.0000 0.0000 0.0000
Ba: 0.2192 0.2192 0.3423
Ba: 0.7808 0.7808 0.6577
Pt: 0.5000 0.5000 0.5000